[1]
# Pr2Sm2GaRh4

Pr2Sm2GaRh4 after structural relaxation (GGA-PBE, Alexandria via LeMat-Bulk).

## Properties
Its crystal system is tetragonal.

abc: 6.520 6.520 6.520
angles: 117.58 117.58 94.24
Element x y z (fractional)
Pr  0.250  0.750  0.500
Pr  0.750  0.250  0.500
Sm  0.182  0.182  0.000
Sm  0.818  0.818  0.000
Ga  0.500  0.500  0.000
Rh  0.243  0.243  0.485
Rh  0.243  0.757  0.000
Rh  0.757  0.243  0.000
Rh  0.757  0.757  0.515


[2]
# PrSmGaRh

PrSmGaRh after structural relaxation (GGA-PBE, Alexandria via LeMat-Bulk).

## Properties
The energy relative to the lowest polymorph listed for this composition comes out at 0 meV/atom. Its crystal system is orthorhombic.

abc: 3.947 4.406 11.280
angles: 90.00 90.00 90.00
Element x y z (fractional)
Pr  0.000  0.000  0.000
Pr  0.000  0.500  0.500
Sm  0.500  0.000  0.285
Sm  0.500  0.500  0.785
Ga  0.500  0.000  0.586
Ga  0.500  0.500  0.086
Rh  0.000  0.000  0.737
Rh  0.000  0.500  0.237


[3]
# Pr2SmGa3Rh4

Pr2SmGa3Rh4 after structural relaxation (GGA-PBE, Alexandria via LeMat-Bulk).

## Properties
Its crystal system is tetragonal.

abc: 4.322 4.322 10.985
angles: 90.00 90.00 90.00
Element x y z (fractional)
Pr  0.000  0.500  0.220
Pr  0.500  0.000  0.780
Sm  0.000  0.000  0.500
Ga  0.000  0.500  0.885
Ga  0.500  0.000  0.115
Ga  0.500  0.500  0.500
Rh  0.000  0.000  0.000
Rh  0.000  0.500  0.656
Rh  0.500  0.000  0.344
Rh  0.500  0.500  0.000


Formation enthalpy at 0 K per entry: -9.70; -15.06; -17.23 kcal/mol of atoms
Total DFT energy (no corrections) per entry: -55.22; -44.98; -60.24 eV per cell